[1]
# Ac2Al3Zn

Ac2Al3Zn after structural relaxation (GGA-PBE, Alexandria via LeMat-Bulk).

The space group is Fmmm (No. 69) and the conventional cell measures 9.046, 9.283 and 15.633 Å, with angles of 90.00, 90.00 and 90.00 degrees. The distinct sites, in fractional coordinates, are Ac at (0.000, 0.249, 0.000), Ac at (0.250, 0.250, 0.250), Al at (0.000, 0.000, 0.332), Al at (0.250, 0.000, 0.084) and Zn at (0.000, 0.000, 0.167).

---

[2]
# Pr2Ho3Hg4

Pr2Ho3Hg4 after structural relaxation (GGA-PBE, Alexandria via LeMat-Bulk).

The space group is Cmce (No. 64) and the conventional cell measures 7.018, 17.832 and 8.235 Å, with angles of 90.00, 90.00 and 90.00 degrees. The distinct sites, in fractional coordinates, are Pr at (0.000, 0.095, 0.091), Ho at (0.000, 0.000, 0.500), Ho at (0.250, 0.239, 0.750), Hg at (0.000, 0.169, 0.473) and Hg at (0.250, 0.065, 0.750).

---

[3]
# Ti3CrRe

Ti3CrRe after structural relaxation (GGA-PBE, Alexandria via LeMat-Bulk).

The excess energy over the best structure of this formula in the dataset comes out at 0 meV per atom.

The space group is Pm-3m (No. 221) and the conventional cell measures 4.382, 4.382 and 4.382 Å, with angles of 90.00, 90.00 and 90.00 degrees. The distinct sites, in fractional coordinates, are Ti at (0.000, 0.000, 0.500), Cr at (0.000, 0.000, 0.000) and Re at (0.500, 0.500, 0.500).

---

Number 1: formation energy -363.3 meV per atom, DFT total energy -183.19 eV/cell. Number 2: formation energy -357.8 meV per atom, DFT total energy -110.88 eV/cell. Number 3: formation energy 824.9 meV per atom, DFT total energy -41.63 eV/cell.